# 1
Computed, not measured: a relaxed LiMg2ScAg2Au2 crystal at the PBE level of DFT.

## Properties
Final energy   -3.418 eV/atom
Size of the total moment   0.002 μB per atom

abc: 4.693 4.693 6.584
angles: 90.00 90.00 90.00
Positions (direct):
Mg1 0.000 0.000 0.500
Mg2 0.500 0.500 0.000
Li1 0.000 0.000 0.000
Ag1 0.500 0.000 0.232
Ag2 0.000 0.500 0.768
Au1 0.000 0.500 0.249
Au2 0.500 0.000 0.751
Sc1 0.500 0.500 0.500



# 2
Computed, not measured: a relaxed ErLuSb crystal at the PBE level of DFT.

## Properties
Final energy   -4.815 eV/atom
Size of the total moment   0.005 μB per atom

abc: 4.989 4.989 4.989
angles: 60.00 60.00 60.00
Positions (direct):
Sb1 0.250 0.250 0.250
Lu1 0.000 0.000 0.000
Er1 0.500 0.500 0.500



# 3
Computed, not measured: a relaxed SrLi2Cd2 crystal at the PBE level of DFT.

## Properties
Final energy   -1.663 eV/atom

abc: 6.849 6.849 6.849
angles: 141.19 141.19 56.05
Positions (direct):
Cd1 0.619 0.619 0.000
Cd2 0.381 0.381 0.000
Li1 0.250 0.750 0.500
Li2 0.750 0.250 0.500
Sr1 0.000 0.000 0.000